DFT (GGA-PBE) results for a relaxed structure of HoGaAgHg.

a = 6.950 Å, b = 6.950 Å, c = 6.950 Å
α = 90.00°, β = 90.00°, γ = 90.00°
Atoms (fractional coordinates):
1 Ho 0.000 0.000 0.000
2 Ho 0.000 0.500 0.500
3 Ho 0.500 0.000 0.500
4 Ho 0.500 0.500 0.000
5 Ga 0.250 0.250 0.750
6 Ga 0.250 0.750 0.250
7 Ga 0.750 0.250 0.250
8 Ga 0.750 0.750 0.750
9 Ag 0.000 0.000 0.500
10 Ag 0.000 0.500 0.000
11 Ag 0.500 0.000 0.000
12 Ag 0.500 0.500 0.500
13 Hg 0.250 0.250 0.250
14 Hg 0.250 0.750 0.750
15 Hg 0.750 0.250 0.750
16 Hg 0.750 0.750 0.250

Summary:
Its space-group type is No. 216. The formation energy from the elements comes out at -31 kJ/mol of atoms.

=====

DFT (GGA-PBE) results for a relaxed structure of Ga2AgHg2I6.

a = 7.701 Å, b = 7.701 Å, c = 8.916 Å
α = 90.00°, β = 90.00°, γ = 120.00°
Atoms (fractional coordinates):
1 Ga 0.333 0.667 0.187
2 Ga 0.667 0.333 0.813
3 Ag 0.000 0.000 0.500
4 Hg 0.333 0.667 0.894
5 Hg 0.667 0.333 0.106
6 I 0.014 0.684 0.299
7 I 0.316 0.329 0.299
8 I 0.329 0.014 0.701
9 I 0.671 0.986 0.299
10 I 0.684 0.671 0.701
11 I 0.986 0.316 0.701

Summary:
Its space-group type is No. 147. As for the uncorrected formation energy: -269 meV/atom.

=====

DFT (GGA-PBE) results for a relaxed structure of In2Ga2Ag7Hg.

a = 3.959 Å, b = 3.959 Å, c = 16.097 Å
α = 96.61°, β = 96.61°, γ = 89.94°
Atoms (fractional coordinates):
1 In 0.124 0.124 0.285
2 In 0.876 0.876 0.715
3 Ga 0.334 0.334 0.631
4 Ga 0.666 0.666 0.369
5 Ag 0.000 0.000 0.000
6 Ag 0.065 0.565 0.147
7 Ag 0.233 0.233 0.463
8 Ag 0.435 0.935 0.853
9 Ag 0.565 0.065 0.147
10 Ag 0.767 0.767 0.537
11 Ag 0.935 0.435 0.853
12 Hg 0.500 0.500 0.000

Summary:
Its space-group type is No. 12. The formation energy from the elements comes out at 10 kJ/mol of atoms.

=====

DFT (GGA-PBE) results for a relaxed structure of K2GaAgHg.

a = 6.510 Å, b = 6.510 Å, c = 4.899 Å
α = 90.00°, β = 90.00°, γ = 90.00°
Atoms (fractional coordinates):
1 K 0.000 0.500 0.000
2 K 0.500 0.000 0.000
3 Ga 0.000 0.000 0.500
4 Ag 0.000 0.000 0.000
5 Hg 0.500 0.500 0.500

Summary:
Its space-group type is No. 123. The formation energy from the elements comes out at 4 kJ/mol of atoms.

=====

Electronic total energy: -12.04; -21.77; -30.59; -8.16 (eV per formula unit)
Magnetization: 0.00; 0.00; 0.00; 0.00 (μB per cell)